--- i ---
Entry from Alexandria: a relaxed structure of La2CeGa3 (PBE-GGA).

Lattice parameters (Å, degrees): 3.7271 3.7271 11.1981 90.00 90.00 90.00
Fractional coordinates of all 6 atoms:
La (0.0000, 0.0000, 0.1698)
La (0.0000, 0.0000, 0.8302)
Ce (0.0000, 0.0000, 0.5000)
Ga (0.5000, 0.5000, 0.0000)
Ga (0.5000, 0.5000, 0.3409)
Ga (0.5000, 0.5000, 0.6591)

--- ii ---
Entry from Alexandria: a relaxed structure of La2CeGa3 (PBE-GGA).

Lattice parameters (Å, degrees): 9.7993 9.1595 6.1266 76.92 65.57 37.52
Fractional coordinates of all 12 atoms:
La (0.2500, 0.2500, 0.2500)
La (0.2505, 0.7495, 0.7495)
La (0.7495, 0.2505, 0.2505)
La (0.7500, 0.7500, 0.7500)
Ce (0.1664, 0.1664, 0.8336)
Ce (0.8336, 0.8336, 0.1664)
Ga (0.1818, 0.6593, 0.3407)
Ga (0.3407, 0.8182, 0.1818)
Ga (0.3416, 0.3416, 0.6584)
Ga (0.6584, 0.6584, 0.3416)
Ga (0.6593, 0.1818, 0.8182)
Ga (0.8182, 0.3407, 0.6593)

The winner here is i, beating the second structure by 10.4 kJ/mol of atoms.

--- i ---
Entry from Alexandria: a relaxed structure of LaCe2Ga (PBE-GGA).

Lattice parameters (Å, degrees): 4.4839 4.3573 11.4358 90.00 99.89 90.00
Fractional coordinates of all 8 atoms:
La (0.1984, 0.2500, 0.3975)
La (0.8016, 0.7500, 0.6025)
Ce (0.1058, 0.7500, 0.1206)
Ce (0.4946, 0.7500, 0.8825)
Ce (0.5054, 0.2500, 0.1175)
Ce (0.8942, 0.2500, 0.8794)
Ga (0.3284, 0.2500, 0.6851)
Ga (0.6716, 0.7500, 0.3149)

--- ii ---
Entry from Alexandria: a relaxed structure of LaCe2Ga (PBE-GGA).

Lattice parameters (Å, degrees): 7.2187 7.2187 7.2187 36.50 36.50 36.50
Fractional coordinates of all 4 atoms:
La (0.0000, 0.0000, 0.0000)
Ce (0.5998, 0.5998, 0.5998)
Ce (0.7949, 0.7949, 0.7949)
Ga (0.1990, 0.1990, 0.1990)

--- iii ---
Entry from Alexandria: a relaxed structure of LaCe2Ga (PBE-GGA).

Lattice parameters (Å, degrees): 4.6909 4.6909 4.8575 90.00 90.00 90.00
Fractional coordinates of all 4 atoms:
La (0.0000, 0.0000, 0.0000)
Ce (0.0000, 0.5000, 0.5000)
Ce (0.5000, 0.0000, 0.5000)
Ga (0.5000, 0.5000, 0.0000)

--- iv ---
Entry from Alexandria: a relaxed structure of LaCe2Ga (PBE-GGA).

Lattice parameters (Å, degrees): 6.4437 6.4437 6.8143 90.00 90.00 130.11
Fractional coordinates of all 8 atoms:
La (0.0843, 0.9157, 0.7500)
La (0.9157, 0.0843, 0.2500)
Ce (0.3871, 0.6129, 0.5389)
Ce (0.3871, 0.6129, 0.9611)
Ce (0.6129, 0.3871, 0.0389)
Ce (0.6129, 0.3871, 0.4611)
Ga (0.1832, 0.8168, 0.2500)
Ga (0.8168, 0.1832, 0.7500)

The winner here is i, beating the second structure by 2.7 kJ/mol of atoms.

--- i ---
Entry from Alexandria: a relaxed structure of LaCeGa (PBE-GGA).

Lattice parameters (Å, degrees): 4.5306 4.3454 8.5560 90.00 91.07 90.00
Fractional coordinates of all 6 atoms:
La (0.2441, 0.2500, 0.3700)
La (0.7559, 0.7500, 0.6300)
Ce (0.1972, 0.7500, 0.0113)
Ce (0.8028, 0.2500, 0.9887)
Ga (0.2733, 0.2500, 0.7452)
Ga (0.7267, 0.7500, 0.2548)

--- ii ---
Entry from Alexandria: a relaxed structure of LaCeGa (PBE-GGA).

Lattice parameters (Å, degrees): 3.7114 5.1924 8.2691 90.00 101.20 90.00
Fractional coordinates of all 6 atoms:
La (0.0876, 0.2500, 0.1277)
La (0.9124, 0.7500, 0.8723)
Ce (0.1937, 0.7500, 0.5218)
Ce (0.8063, 0.2500, 0.4782)
Ga (0.4035, 0.2500, 0.7824)
Ga (0.5965, 0.7500, 0.2176)

--- iii ---
Entry from Alexandria: a relaxed structure of LaCeGa (PBE-GGA).

Lattice parameters (Å, degrees): 5.6952 5.6952 5.6952 138.70 138.70 59.83
Fractional coordinates of all 3 atoms:
La (0.0000, 0.0000, 0.0000)
Ce (0.3055, 0.3055, 0.0000)
Ga (0.6582, 0.6582, 0.0000)

The winner here is i, beating the second structure by 3.5 kJ/mol of atoms.

--- i ---
Entry from Alexandria: a relaxed structure of LaCeGa4 (PBE-GGA).

Lattice parameters (Å, degrees): 4.2982 4.2982 8.6561 90.00 90.00 120.00
Fractional coordinates of all 6 atoms:
La (0.0000, 0.0000, 0.0000)
Ce (0.0000, 0.0000, 0.5000)
Ga (0.3333, 0.6667, 0.2604)
Ga (0.3333, 0.6667, 0.7396)
Ga (0.6667, 0.3333, 0.2604)
Ga (0.6667, 0.3333, 0.7396)

--- ii ---
Entry from Alexandria: a relaxed structure of LaCeGa4 (PBE-GGA).

Lattice parameters (Å, degrees): 8.0715 8.0715 8.0715 149.06 149.06 44.33
Fractional coordinates of all 6 atoms:
La (0.0000, 0.0000, 0.0000)
Ce (0.7500, 0.2500, 0.5000)
Ga (0.1680, 0.6680, 0.5000)
Ga (0.3320, 0.8320, 0.5000)
Ga (0.4156, 0.4156, 0.0000)
Ga (0.5844, 0.5844, 0.0000)

The winner here is i, beating the second structure by 1.2 kJ/mol of atoms.

--- i ---
Entry from Alexandria: a relaxed structure of La3CeGa4 (PBE-GGA).

Lattice parameters (Å, degrees): 3.7404 3.7404 14.9468 90.00 90.00 90.00
Fractional coordinates of all 8 atoms:
La (0.0000, 0.0000, 0.0000)
La (0.0000, 0.0000, 0.2535)
La (0.0000, 0.0000, 0.7465)
Ce (0.0000, 0.0000, 0.5000)
Ga (0.5000, 0.5000, 0.1272)
Ga (0.5000, 0.5000, 0.3813)
Ga (0.5000, 0.5000, 0.6187)
Ga (0.5000, 0.5000, 0.8728)

--- ii ---
Entry from Alexandria: a relaxed structure of La3CeGa4 (PBE-GGA).

Lattice parameters (Å, degrees): 9.5304 9.5304 9.5304 157.01 136.59 49.68
Fractional coordinates of all 8 atoms:
La (0.0000, 0.0000, 0.0000)
La (0.2991, 0.7991, 0.5000)
La (0.7009, 0.2009, 0.5000)
Ce (0.5000, 0.5000, 0.0000)
Ga (0.0601, 0.3719, 0.6882)
Ga (0.3163, 0.6281, 0.6882)
Ga (0.6837, 0.3719, 0.3118)
Ga (0.9399, 0.6281, 0.3118)

The winner here is i, beating the second structure by 15.5 kJ/mol of atoms.

--- i ---
Entry from Alexandria: a relaxed structure of LaCeGaRu (PBE-GGA).

Lattice parameters (Å, degrees): 5.0957 5.0957 5.0957 60.00 60.00 60.00
Fractional coordinates of all 4 atoms:
La (0.0000, 0.0000, 0.0000)
Ce (0.5000, 0.5000, 0.5000)
Ga (0.7500, 0.7500, 0.7500)
Ru (0.2500, 0.2500, 0.2500)

--- ii ---
Entry from Alexandria: a relaxed structure of LaCeGaRu (PBE-GGA).

Lattice parameters (Å, degrees): 4.6376 4.6376 9.8259 90.00 90.00 90.00
Fractional coordinates of all 8 atoms:
La (0.2500, 0.2500, 0.1979)
La (0.7500, 0.7500, 0.8021)
Ce (0.2500, 0.7500, 0.5000)
Ce (0.7500, 0.2500, 0.5000)
Ga (0.2500, 0.2500, 0.8919)
Ga (0.7500, 0.7500, 0.1081)
Ru (0.2500, 0.2500, 0.6398)
Ru (0.7500, 0.7500, 0.3602)

The winner here is i, beating the second structure by 4.0 kJ/mol of atoms.

--- i ---
Entry from Alexandria: a relaxed structure of LaCeGaSn (PBE-GGA).

Lattice parameters (Å, degrees): 5.4095 5.4095 5.4095 60.00 60.00 60.00
Fractional coordinates of all 4 atoms:
La (0.0000, 0.0000, 0.0000)
Ce (0.5000, 0.5000, 0.5000)
Ga (0.7500, 0.7500, 0.7500)
Sn (0.2500, 0.2500, 0.2500)

--- ii ---
Entry from Alexandria: a relaxed structure of LaCeGaSn (PBE-GGA).

Lattice parameters (Å, degrees): 4.4091 4.4091 11.4526 90.00 90.00 90.00
Fractional coordinates of all 8 atoms:
La (0.2500, 0.2500, 0.2199)
La (0.7500, 0.7500, 0.7801)
Ce (0.2500, 0.7500, 0.5000)
Ce (0.7500, 0.2500, 0.5000)
Ga (0.2500, 0.2500, 0.6945)
Ga (0.7500, 0.7500, 0.3055)
Sn (0.2500, 0.2500, 0.9419)
Sn (0.7500, 0.7500, 0.0581)

The winner here is i, beating the second structure by 10.9 kJ/mol of atoms.

--- i ---
Entry from Alexandria: a relaxed structure of LiCe2Ga5 (PBE-GGA).

Lattice parameters (Å, degrees): 8.8162 8.8162 9.0121 90.00 90.00 151.65
Fractional coordinates of all 16 atoms:
Li (0.0623, 0.9377, 0.7500)
Li (0.9377, 0.0623, 0.2500)
Ce (0.2922, 0.7078, 0.2500)
Ce (0.5000, 0.5000, 0.0000)
Ce (0.5000, 0.5000, 0.5000)
Ce (0.7078, 0.2922, 0.7500)
Ga (0.0814, 0.9186, 0.2500)
Ga (0.1418, 0.8582, 0.5216)
Ga (0.1418, 0.8582, 0.9784)
Ga (0.3125, 0.6875, 0.6069)
Ga (0.3125, 0.6875, 0.8931)
Ga (0.6875, 0.3125, 0.1069)
Ga (0.6875, 0.3125, 0.3931)
Ga (0.8582, 0.1418, 0.0216)
Ga (0.8582, 0.1418, 0.4784)
Ga (0.9186, 0.0814, 0.7500)

--- ii ---
Entry from Alexandria: a relaxed structure of LiCe2Ga5 (PBE-GGA).

Lattice parameters (Å, degrees): 6.1915 6.1915 6.1915 118.99 118.99 91.75
Fractional coordinates of all 8 atoms:
Li (0.0000, 0.0000, 0.0000)
Ce (0.1853, 0.6853, 0.5000)
Ce (0.6853, 0.1853, 0.5000)
Ga (0.2205, 0.2205, 0.5744)
Ga (0.2205, 0.6461, 0.0000)
Ga (0.6461, 0.2205, 0.0000)
Ga (0.6461, 0.6461, 0.4256)
Ga (0.6821, 0.6821, 0.0000)

The winner here is ii, beating the second structure by 0.9 kJ/mol of atoms.

--- i ---
Entry from Alexandria: a relaxed structure of CeLuGa (PBE-GGA).

Lattice parameters (Å, degrees): 4.9195 4.9195 4.9195 60.00 60.00 60.00
Fractional coordinates of all 3 atoms:
Ce (0.0000, 0.0000, 0.0000)
Lu (0.5000, 0.5000, 0.5000)
Ga (0.7500, 0.7500, 0.7500)

--- ii ---
Entry from Alexandria: a relaxed structure of CeLuGa (PBE-GGA).

Lattice parameters (Å, degrees): 4.9642 4.9642 3.5828 90.00 90.00 120.00
Fractional coordinates of all 3 atoms:
Ce (0.0000, 0.0000, 0.0000)
Lu (0.6667, 0.3333, 0.5462)
Ga (0.3333, 0.6667, 0.3816)

The winner here is ii, beating the second structure by 4.1 kJ/mol of atoms.

--- i ---
Entry from Alexandria: a relaxed structure of Ce2LuGa (PBE-GGA).

Lattice parameters (Å, degrees): 4.3903 4.3903 5.0617 90.00 90.00 90.00
Fractional coordinates of all 4 atoms:
Ce (0.0000, 0.5000, 0.0000)
Ce (0.5000, 0.0000, 0.0000)
Lu (0.0000, 0.0000, 0.5000)
Ga (0.5000, 0.5000, 0.5000)

--- ii ---
Entry from Alexandria: a relaxed structure of Ce2LuGa (PBE-GGA).

Lattice parameters (Å, degrees): 12.1155 12.1155 12.1155 15.39 15.39 15.39
Fractional coordinates of all 4 atoms:
Ce (0.0857, 0.0857, 0.0857)
Ce (0.9143, 0.9143, 0.9143)
Lu (0.5000, 0.5000, 0.5000)
Ga (0.0000, 0.0000, 0.0000)

--- iii ---
Entry from Alexandria: a relaxed structure of Ce2LuGa (PBE-GGA).

Lattice parameters (Å, degrees): 3.8892 3.8892 7.0695 90.00 90.00 90.00
Fractional coordinates of all 4 atoms:
Ce (0.0000, 0.0000, 0.1983)
Ce (0.0000, 0.0000, 0.8017)
Lu (0.5000, 0.5000, 0.5000)
Ga (0.5000, 0.5000, 0.0000)

The winner here is i, beating the second structure by 6.1 kJ/mol of atoms.

--- i ---
Entry from Alexandria: a relaxed structure of Ce3Mg2Ga4 (PBE-GGA).

Lattice parameters (Å, degrees): 5.8887 5.8887 8.9146 111.98 111.98 46.71
Fractional coordinates of all 9 atoms:
Ce (0.0000, 0.0000, 0.0000)
Ce (0.3344, 0.3344, 0.3307)
Ce (0.6656, 0.6656, 0.6693)
Mg (0.3864, 0.3864, 0.7187)
Mg (0.6136, 0.6136, 0.2813)
Ga (0.0737, 0.0737, 0.4141)
Ga (0.2988, 0.2988, 0.9694)
Ga (0.7012, 0.7012, 0.0306)
Ga (0.9263, 0.9263, 0.5859)

--- ii ---
Entry from Alexandria: a relaxed structure of Ce3Mg2Ga4 (PBE-GGA).

Lattice parameters (Å, degrees): 5.6709 5.6709 8.9404 91.03 91.03 46.95
Fractional coordinates of all 9 atoms:
Ce (0.0000, 0.0000, 0.0000)
Ce (0.3949, 0.3949, 0.5928)
Ce (0.6051, 0.6051, 0.4072)
Mg (0.2996, 0.2996, 0.2284)
Mg (0.7004, 0.7004, 0.7716)
Ga (0.0909, 0.0909, 0.6479)
Ga (0.3074, 0.3074, 0.9189)
Ga (0.6926, 0.6926, 0.0811)
Ga (0.9091, 0.9091, 0.3521)

The winner here is i, beating the second structure by 2.9 kJ/mol of atoms.